This record from Alexandria describes a relaxed Ba4SrPd crystal. The functional is PBE.

Lattice parameters (Å, degrees): 7.144 8.383 10.723 90.00 102.31 90.00
Sites, in units of the cell vectors:
Ba 0.103 0.250 0.054
Ba 0.212 0.750 0.325
Ba 0.359 0.511 0.798
Ba 0.359 0.989 0.798
Ba 0.641 0.011 0.202
Ba 0.641 0.489 0.202
Ba 0.788 0.250 0.675
Ba 0.897 0.750 0.946
Sr 0.217 0.250 0.442
Sr 0.783 0.750 0.558
Pd 0.351 0.750 0.044
Pd 0.649 0.250 0.956

Formation enthalpy at 0 K = -0.16 eV/atom
E above lowest polymorph = 19 meV/atom
M_tot = 0.000 μB per atom
Crystal system = monoclinic